## MgTi2CdN (PBE)

Data for a relaxed structure of MgTi2CdN.

Calculated values
Space-group type   P4/mmm
Energy relative to the elements, uncorrected   -299.7 kJ/mol of formula units
Calculated volume   76.1 Å³ per cell

Unit cell a=4.161 b=4.161 c=4.398 alpha=90.00 beta=90.00 gamma=90.00
Element x y z (fractional)
1 Mg 0.000 0.000 0.000
2 Ti 0.000 0.500 0.500
3 Ti 0.500 0.000 0.500
4 Cd 0.500 0.500 0.000
5 N 0.000 0.000 0.500